The following is a DFT calculation (PBE) of a geometry-optimized CsAcHgTe3 structure.

energy relative to the elements, uncorrected = -1.04 eV/atom
electronic total energy = -0.257 Ry/atom
calculated volume = 269 Å³/f.u.

a b c (Å): 10.308 4.807 11.390
angles (deg): 90.00 107.53 90.00
Space group P2_1/m (No. 11)
Unique sites:
Cs 0.223 0.250 0.257 [2 per cell]
Ac 0.320 0.750 0.860 [2 per cell]
Hg 0.089 0.250 0.622 [2 per cell]
Te 0.094 0.250 0.871 [2 per cell]
Te 0.205 0.750 0.542 [2 per cell]
Te 0.467 0.750 0.161 [2 per cell]